The following is a GGA-PBE calculation of MgBeOs2 after structural relaxation, from Alexandria via LeMat-Bulk.

The structure belongs to space group Imm2 (No. 44); the cell edges are 2.9195, 4.2580 and 8.6201 Å and the angles 90.00°, 90.00° and 90.00°. The distinct sites, in fractional coordinates, are Mg at (0.0000, 0.0000, 0.0000), Be at (0.0000, 0.5000, 0.2431), Os at (0.0000, 0.0000, 0.5210) and Os at (0.0000, 0.5000, 0.7708).

As for the total moment: 0.000 μB/f.u. The calculated density is 12.8 g cm⁻³. The total energy is -6.719 eV per atom. The calculated formation energy is 0.226 eV/atom. The distance to the lowest polymorph of the same formula comes out at 23.6 kJ per mole of atoms.

---

The following is a GGA-PBE calculation of MgBeOs2 after structural relaxation, from Alexandria via LeMat-Bulk.

The structure belongs to space group P4mm (No. 99); the cell edges are 2.8928, 2.8928 and 6.4890 Å and the angles 90.00°, 90.00° and 90.00°. The distinct sites, in fractional coordinates, are Mg at (0.0000, 0.0000, 0.0000), Be at (0.5000, 0.5000, 0.7342), Os at (0.0000, 0.0000, 0.5470) and Os at (0.5000, 0.5000, 0.2884).

As for the total moment: 0.000 μB/f.u. The calculated density is 12.7 g cm⁻³. The total energy is -6.964 eV per atom. The calculated formation energy is -0.018 eV/atom. The distance to the lowest polymorph of the same formula comes out at 0.0 kJ per mole of atoms.

---

The following is a GGA-PBE calculation of MgBeOs2 after structural relaxation, from Alexandria via LeMat-Bulk.

The structure belongs to space group P4/mmm (No. 123); the cell edges are 2.8690, 2.8690 and 6.5389 Å and the angles 90.00°, 90.00° and 90.00°. The distinct sites, in fractional coordinates, are Mg at (0.0000, 0.0000, 0.0000), Be at (0.0000, 0.0000, 0.5000) and Os at (0.5000, 0.5000, 0.3057).

As for the total moment: 0.000 μB/f.u. The calculated density is 12.8 g cm⁻³. The total energy is -6.804 eV per atom. The calculated formation energy is 0.141 eV/atom. The distance to the lowest polymorph of the same formula comes out at 15.4 kJ per mole of atoms.

---

The following is a GGA-PBE calculation of MgBe2Os after structural relaxation, from Alexandria via LeMat-Bulk.

The structure belongs to space group P4/mmm (No. 123); the cell edges are 3.9298, 3.9298 and 3.0382 Å and the angles 90.00°, 90.00° and 90.00°. The distinct sites, in fractional coordinates, are Mg at (0.0000, 0.0000, 0.0000), Be at (0.0000, 0.5000, 0.5000) and Os at (0.5000, 0.5000, 0.0000).

As for the total moment: 0.000 μB/f.u. The calculated density is 8.2 g cm⁻³. The total energy is -5.047 eV per atom. The calculated formation energy is 0.022 eV/atom.

---

The following is a GGA-PBE calculation of MgBe2Os after structural relaxation, from Alexandria via LeMat-Bulk.

The structure belongs to space group Immm (No. 71); the cell edges are 2.5569, 4.5791 and 10.4760 Å and the angles 90.00°, 90.00° and 90.00°. The distinct sites, in fractional coordinates, are Mg at (0.0000, 0.0000, 0.0000), Be at (0.0000, 0.0000, 0.2869) and Os at (0.0000, 0.0000, 0.5000).

As for the total moment: 0.000 μB/f.u. The calculated density is 6.3 g cm⁻³. The total energy is -4.300 eV per atom. The calculated formation energy is 0.769 eV/atom.

---

The following is a GGA-PBE calculation of MgBeOs2 after structural relaxation, from Alexandria via LeMat-Bulk.

The structure belongs to space group I-4m2 (No. 119); the cell edges are 4.2820, 4.2820 and 5.9168 Å and the angles 90.00°, 90.00° and 90.00°. The distinct sites, in fractional coordinates, are Mg at (0.0000, 0.0000, 0.0000), Be at (0.0000, 0.5000, 0.2500), Os at (0.0000, 0.0000, 0.5000) and Os at (0.0000, 0.5000, 0.7500).

As for the total moment: 0.000 μB/f.u. The calculated density is 12.7 g cm⁻³. The total energy is -6.767 eV per atom. The calculated formation energy is 0.178 eV/atom. The distance to the lowest polymorph of the same formula comes out at 18.9 kJ per mole of atoms.

---

The following is a GGA-PBE calculation of MgBe2Os after structural relaxation, from Alexandria via LeMat-Bulk.

The structure belongs to space group F-43m (No. 216); the cell edges are 5.8138, 5.8138 and 5.8138 Å and the angles 90.00°, 90.00° and 90.00°. The distinct sites, in fractional coordinates, are Mg at (0.0000, 0.0000, 0.0000), Be at (0.0000, 0.0000, 0.5000), Be at (0.2500, 0.2500, 0.7500) and Os at (0.2500, 0.2500, 0.2500).

As for the total moment: 0.000 μB/f.u. The calculated density is 7.9 g cm⁻³. The total energy is -4.748 eV per atom. The calculated formation energy is 0.321 eV/atom.

---

The following is a GGA-PBE calculation of MgBeOs2 after structural relaxation, from Alexandria via LeMat-Bulk.

The structure belongs to space group P4/mmm (No. 123); the cell edges are 3.7270, 3.7270 and 3.9895 Å and the angles 90.00°, 90.00° and 90.00°. The distinct sites, in fractional coordinates, are Mg at (0.0000, 0.0000, 0.0000), Be at (0.5000, 0.5000, 0.0000) and Os at (0.0000, 0.5000, 0.5000).

As for the total moment: 0.000 μB/f.u. The calculated density is 12.4 g cm⁻³. The total energy is -6.539 eV per atom. The calculated formation energy is 0.406 eV/atom. The distance to the lowest polymorph of the same formula comes out at 40.9 kJ per mole of atoms.